BeCrHRh2: relaxed, GGA-PBE.

The structure in POSCAR format:
```
BeCrHRh2
1.0
-0.278 0.935 3.846
-3.657 -1.534 0.108
1.283 -3.000 0.822
Cr Rh H Be
1 2 1 1
direct
0.500 0.500 0.500
0.000 0.500 0.000
0.500 0.000 0.000
0.000 0.000 0.000
0.000 0.000 0.500
```

Results
For the offset from the most stable computed form, the calculation gives 3.0 meV per atom. Its space group is P4/mmm, No. 123. The density of states at the Fermi level comes out at 0.530 states/eV per atom. For the total energy, the calculation gives -31.95 eV/cell.

***

NaMgScI2: relaxed, GGA-PBE.

The structure in POSCAR format:
```
NaMgScI2
1.0
-5.163 -1.425 -2.049
-0.858 -3.769 4.783
-2.364 4.302 2.966
I Sc Mg Na
2 1 1 1
direct
0.000 0.000 0.500
0.500 0.000 0.000
0.000 0.500 0.000
0.500 0.500 0.500
0.000 0.000 0.000
```

Results
The energy relative to the elements, uncorrected is 5.31 kcal/mol of atoms. Its space group is P4/mmm, No. 123. The density of states at the Fermi level comes out at 0.669 states/eV per atom. For the total energy, the calculation gives -11.19 eV/cell.

***

NaAlGa2: relaxed, GGA-PBE.

The structure in POSCAR format:
```
NaAlGa2
1.0
-1.294 3.397 -2.660
-0.072 -0.420 -4.316
-5.602 -0.598 -1.853
Na Al Ga
1 1 2
direct
0.500 0.000 0.000
0.000 0.500 0.500
0.721 0.218 0.340
0.279 0.782 0.660
```

Results
Its space group is C2/m, No. 12. The density of states at the Fermi level comes out at 0.395 states/eV per atom. The energy of formation is 0.05 eV per formula unit. For the total energy, the calculation gives -11.06 eV/cell.

***

Sm3HoEr: relaxed, GGA-PBE.

The structure in POSCAR format:
```
Sm3HoEr
1.0
-0.475 -3.569 0.371
4.683 0.474 -7.136
9.800 -0.640 6.389
Sm Ho Er
6 2 2
direct
0.852 0.203 0.002
0.148 0.797 0.998
0.852 0.203 0.498
0.148 0.797 0.502
0.689 0.878 0.250
0.311 0.122 0.750
0.016 0.531 0.250
0.984 0.469 0.750
0.351 0.202 0.250
0.649 0.798 0.750
```

Results
For the offset from the most stable computed form, the calculation gives 284.4 meV per atom. Its space group is P2_1/m, No. 11. The density of states at the Fermi level comes out at 1.777 states/eV per atom. The energy of formation is 1.51 eV per formula unit. For the total energy, the calculation gives -43.58 eV/cell.